First-principles (PBE-GGA) data for an optimized crystal structure of MnSbI2N, as listed in Alexandria via LeMat-Bulk.

```
5
Lattice="6.239 0.000 0.000 0.000 6.239 0.000 0.000 0.000 3.994" Properties=species:S:1:pos:R:3 pbc="T T T"
Mn 0.000 0.000 0.000
Sb 3.120 3.120 1.997
I 0.000 3.120 1.997
I 3.120 0.000 1.997
N 3.120 3.120 0.000
```

For the energy relative to the elements, uncorrected, the calculation gives 0.86 eV per atom. Its space group is P4/mmm, No. 123. The density of states at the Fermi level is 0.670 states/eV per atom. The offset from the most stable computed form comes out at 230 kJ/mol of formula units.

***

First-principles (PBE-GGA) data for an optimized crystal structure of SrSnO, as listed in Alexandria via LeMat-Bulk.

```
6
Lattice="6.082 -1.983 0.000 6.082 1.983 0.000 -4.169 0.000 7.150" Properties=species:S:1:pos:R:3 pbc="T T T"
Sr 1.692 0.000 2.178
Sr 6.304 0.000 4.972
Sn 4.994 0.000 1.045
Sn 3.002 0.000 6.105
O 1.538 0.000 4.591
O 6.458 0.000 2.559
```

For the energy relative to the elements, uncorrected, the calculation gives -1.52 eV per atom. Its space group is C2/m, No. 12. The density of states at the Fermi level is 0.207 states/eV per atom. The offset from the most stable computed form comes out at 0 kJ/mol of formula units.

***

First-principles (PBE-GGA) data for an optimized crystal structure of PmSn2Pb, as listed in Alexandria via LeMat-Bulk.

```
4
Lattice="0.000 3.904 3.904 3.904 0.000 3.904 3.904 3.904 0.000" Properties=species:S:1:pos:R:3 pbc="T T T"
Pm 0.000 0.000 0.000
Sn 1.952 1.952 1.952
Sn 5.857 5.857 5.857
Pb 3.904 3.904 3.904
```

Its space group is Fm-3m, No. 225. The density of states at the Fermi level is 0.894 states/eV per atom. The offset from the most stable computed form comes out at 84 kJ/mol of formula units. The formation energy comes out at -0.218 eV/atom.

***

First-principles (PBE-GGA) data for an optimized crystal structure of TiCoPt3, as listed in Alexandria via LeMat-Bulk.

```
5
Lattice="4.529 0.000 0.000 0.000 4.529 0.000 0.000 0.000 4.529" Properties=species:S:1:pos:R:3 pbc="T T T"
Ti 0.000 0.000 0.000
Co 2.265 2.265 2.265
Pt 0.000 2.265 2.265
Pt 2.265 0.000 2.265
Pt 2.265 2.265 0.000
```

Its space group is Pm-3m, No. 221. The density of states at the Fermi level is 1.923 states/eV per atom. The offset from the most stable computed form comes out at 0 kJ/mol of formula units. The formation energy comes out at 0.669 eV/atom.

***

First-principles (PBE-GGA) data for an optimized crystal structure of InTe4Pt, as listed in Alexandria via LeMat-Bulk.

```
6
Lattice="6.534 -2.082 0.000 6.534 2.082 0.000 -3.888 0.000 6.303" Properties=species:S:1:pos:R:3 pbc="T T T"
In 0.000 0.000 0.000
Te -1.268 0.000 4.805
Te 2.067 0.000 4.252
Te 7.113 0.000 2.051
Te 10.448 0.000 1.497
Pt 4.590 0.000 3.151
```

For the energy relative to the elements, uncorrected, the calculation gives -0.26 eV per atom. Its space group is C2/m, No. 12. The density of states at the Fermi level is 0.502 states/eV per atom. The offset from the most stable computed form comes out at 0 kJ/mol of formula units.

***

First-principles (PBE-GGA) data for an optimized crystal structure of Mn3Ga2Cl8, as listed in Alexandria via LeMat-Bulk.

```
13
Lattice="7.411 -3.784 0.000 7.411 3.784 0.000 -2.044 0.000 6.188" Properties=species:S:1:pos:R:3 pbc="T T T"
Mn 0.000 0.000 0.000
Mn 6.389 1.834 3.094
Mn 6.389 -1.834 3.094
Ga 2.463 0.000 5.225
Ga 10.315 0.000 0.962
Cl 0.635 0.000 2.482
Cl 5.712 2.027 0.654
Cl 7.066 2.027 5.533
Cl 4.710 0.000 3.448
Cl 8.068 0.000 2.740
Cl 5.712 -2.027 0.654
Cl 7.066 -2.027 5.533
Cl 12.142 0.000 3.706
```

For the energy relative to the elements, uncorrected, the calculation gives -0.96 eV per atom. Its space group is C2/m, No. 12. The density of states at the Fermi level is 0.000 states/eV per atom.

***

First-principles (PBE-GGA) data for an optimized crystal structure of GaSb2Os, as listed in Alexandria via LeMat-Bulk.

```
8
Lattice="-3.075 3.075 6.051 3.075 -3.075 6.051 3.075 3.075 -6.051" Properties=species:S:1:pos:R:3 pbc="T T T"
Ga 0.000 0.000 0.000
Ga 0.000 3.075 3.026
Sb 1.538 -1.373 4.538
Sb 1.702 1.538 1.513
Sb 1.538 4.448 -1.513
Sb 1.373 1.538 7.564
Os 3.075 0.000 3.026
Os 0.000 0.000 6.051
```

For the energy relative to the elements, uncorrected, the calculation gives 0.45 eV per atom. Its space group is I-42d, No. 122. The density of states at the Fermi level is 1.208 states/eV per atom.

***

First-principles (PBE-GGA) data for an optimized crystal structure of SrMnP2Se8, as listed in Alexandria via LeMat-Bulk.

```
12
Lattice="6.226 0.000 0.000 -3.113 5.392 0.000 0.000 0.000 8.950" Properties=species:S:1:pos:R:3 pbc="T T T"
Sr 0.000 0.000 0.000
Mn 0.000 0.000 4.475
P 0.000 3.595 6.555
P 3.113 1.797 2.395
Se -2.088 3.780 2.911
Se 0.883 1.694 2.911
Se 1.909 0.082 6.038
Se 0.000 3.595 8.734
Se 3.113 1.797 0.216
Se 1.204 5.310 2.911
Se 2.230 3.698 6.038
Se 5.201 1.612 6.038
```

For the energy relative to the elements, uncorrected, the calculation gives -0.42 eV per atom. Its space group is P-3, No. 147. The density of states at the Fermi level is 0.070 states/eV per atom.

***

Question: Number 1 is which compound?
Answer: MnSbI2N